(1)
Density functional theory data (PBE) for a geometry-optimized PmScBe2 structure.

a = 4.739 Å, b = 4.739 Å, c = 4.739 Å
α = 60.00°, β = 60.00°, γ = 60.00°
Element x y z (fractional)
Sc1 0.500 0.500 0.500
Be1 0.250 0.250 0.250
Be2 0.750 0.750 0.750
Pm1 0.000 0.000 0.000

## Properties
ΔE_f: 0.11 eV per atom
Energy above the lowest structure with this stoichiometry: 34.6 meV/atom
Total magnetization: 0.0 μB per cell
Total DFT energy (no corrections): -18.085 eV/f.u.

(2)
Density functional theory data (PBE) for a geometry-optimized PmScBe structure.

a = 3.389 Å, b = 3.389 Å, c = 6.324 Å
α = 105.54°, β = 105.54°, γ = 90.00°
Element x y z (fractional)
Sc1 0.294 0.294 0.588
Be1 0.685 0.685 0.370
Pm1 0.021 0.021 0.042

## Properties
ΔE_f: 0.09 eV per atom
Total magnetization: 0.0 μB per cell
Total DFT energy (no corrections): -14.528 eV/f.u.

(3)
Density functional theory data (PBE) for a geometry-optimized PmScBe4 structure.

a = 4.953 Å, b = 4.953 Å, c = 4.953 Å
α = 60.00°, β = 60.00°, γ = 60.00°
Element x y z (fractional)
Sc1 0.250 0.250 0.250
Be1 0.623 0.623 0.131
Be2 0.623 0.131 0.623
Be3 0.623 0.623 0.623
Be4 0.131 0.623 0.623
Pm1 0.000 0.000 0.000

## Properties
ΔE_f: 0.07 eV per atom
Total magnetization: 0.0 μB per cell
Total DFT energy (no corrections): -25.579 eV/f.u.

(4)
Density functional theory data (PBE) for a geometry-optimized PmScBeSi structure.

a = 4.793 Å, b = 4.793 Å, c = 4.793 Å
α = 60.00°, β = 60.00°, γ = 60.00°
Element x y z (fractional)
Sc1 0.750 0.750 0.750
Be1 0.000 0.000 0.000
Si1 0.500 0.500 0.500
Pm1 0.250 0.250 0.250

## Properties
Total magnetization: 0.0 μB per cell
Total DFT energy (no corrections): -21.114 eV/f.u.

(5)
Density functional theory data (PBE) for a geometry-optimized PmScBe2Si2 structure.

a = 3.848 Å, b = 3.848 Å, c = 7.897 Å
α = 90.00°, β = 90.00°, γ = 120.00°
Element x y z (fractional)
Pm1 0.000 0.000 0.000
Sc1 0.000 0.000 0.500
Be1 0.333 0.667 0.729
Be2 0.667 0.333 0.271
Si1 0.333 0.667 0.271
Si2 0.667 0.333 0.729

## Properties
Total magnetization: 0.0 μB per cell
Total DFT energy (no corrections): -33.039 eV/f.u.

(6)
Density functional theory data (PBE) for a geometry-optimized PmScBeZn structure.

a = 4.867 Å, b = 4.867 Å, c = 4.867 Å
α = 60.00°, β = 60.00°, γ = 60.00°
Element x y z (fractional)
Sc1 0.000 0.000 0.000
Be1 0.750 0.750 0.750
Zn1 0.250 0.250 0.250
Pm1 0.500 0.500 0.500

## Properties
ΔE_f: -0.09 eV per atom
Total magnetization: 0.0 μB per cell
Total DFT energy (no corrections): -16.429 eV/f.u.

(7)
Density functional theory data (PBE) for a geometry-optimized Pm3BeSe6 structure.

a = 6.359 Å, b = 9.322 Å, c = 9.322 Å
α = 102.05°, β = 90.00°, γ = 90.00°
Element x y z (fractional)
Pm1 0.480 0.935 0.720
Pm2 0.980 0.720 0.935
Pm3 0.399 0.374 0.626
Pm4 0.899 0.626 0.374
Pm5 0.980 0.065 0.280
Pm6 0.480 0.280 0.065
Be1 0.038 0.196 0.804
Be2 0.538 0.804 0.196
Se1 0.198 0.672 0.645
Se2 0.698 0.645 0.672
Se3 0.173 0.418 0.903
Se4 0.673 0.903 0.418
Se5 0.154 0.048 0.952
Se6 0.692 0.218 0.782
Se7 0.192 0.782 0.218
Se8 0.654 0.952 0.048
Se9 0.173 0.097 0.582
Se10 0.673 0.582 0.097
Se11 0.198 0.355 0.328
Se12 0.698 0.328 0.355

## Properties
Total magnetization: 0.0 μB per cell
Total DFT energy (no corrections): -53.922 eV/f.u.

(8)
Density functional theory data (PBE) for a geometry-optimized Pm6BeSe5 structure.

a = 7.250 Å, b = 7.287 Å, c = 7.269 Å
α = 59.92°, β = 80.35°, γ = 70.47°
Element x y z (fractional)
Be1 0.000 0.000 0.000
Se1 0.500 0.172 0.657
Se2 0.000 0.334 0.331
Se3 0.500 0.500 0.000
Se4 0.000 0.666 0.669
Se5 0.500 0.828 0.343
Pm1 0.759 0.080 0.320
Pm2 0.241 0.600 0.320
Pm3 0.242 0.238 0.000
Pm4 0.758 0.762 0.000
Pm5 0.759 0.400 0.680
Pm6 0.241 0.920 0.680

## Properties
Total magnetization: 0.0 μB per cell
Total DFT energy (no corrections): -68.083 eV/f.u.

(9)
Density functional theory data (PBE) for a geometry-optimized Pm4BeSe3 structure.

a = 7.189 Å, b = 7.309 Å, c = 8.381 Å
α = 90.00°, β = 90.00°, γ = 109.56°
Element x y z (fractional)
Be1 0.750 0.000 0.876
Be2 0.250 0.000 0.124
Se1 0.750 0.000 0.377
Se2 0.250 0.000 0.623
Se3 0.750 0.500 0.621
Se4 0.750 0.500 0.126
Se5 0.250 0.500 0.379
Se6 0.250 0.500 0.874
Pm1 0.992 0.241 0.634
Pm2 0.501 0.241 0.880
Pm3 0.492 0.241 0.366
Pm4 0.001 0.241 0.120
Pm5 0.999 0.759 0.880
Pm6 0.508 0.759 0.634
Pm7 0.499 0.759 0.120
Pm8 0.008 0.759 0.366

## Properties
Total magnetization: 0.0 μB per cell
Total DFT energy (no corrections): -43.928 eV/f.u.

(10)
Density functional theory data (PBE) for a geometry-optimized Pm3BeSi3 structure.

a = 5.948 Å, b = 8.477 Å, c = 8.477 Å
α = 120.00°, β = 90.00°, γ = 90.00°
Element x y z (fractional)
Pm1 0.750 0.703 0.635
Pm2 0.750 0.365 0.068
Pm3 0.750 0.932 0.297
Pm4 0.250 0.297 0.365
Pm5 0.250 0.635 0.932
Pm6 0.250 0.068 0.703
Be1 0.250 0.667 0.333
Be2 0.750 0.333 0.667
Si1 0.250 0.690 0.614
Si2 0.250 0.386 0.077
Si3 0.250 0.923 0.310
Si4 0.750 0.310 0.386
Si5 0.750 0.614 0.923
Si6 0.750 0.077 0.690

## Properties
Energy above the lowest structure with this stoichiometry: 382.1 meV/atom
Total magnetization: 0.0 μB per cell
Total DFT energy (no corrections): -36.396 eV/f.u.

(11)
Density functional theory data (PBE) for a geometry-optimized Pm2Be2Si3 structure.

a = 4.001 Å, b = 6.756 Å, c = 9.438 Å
α = 90.00°, β = 102.24°, γ = 90.00°
Element x y z (fractional)
Pm1 0.171 0.250 0.341
Pm2 0.829 0.750 0.659
Pm3 0.953 0.250 0.907
Pm4 0.047 0.750 0.093
Be1 0.663 0.905 0.327
Be2 0.337 0.095 0.673
Be3 0.337 0.405 0.673
Be4 0.663 0.595 0.327
Si1 0.206 0.750 0.411
Si2 0.794 0.250 0.589
Si3 0.561 0.425 0.122
Si4 0.439 0.575 0.878
Si5 0.439 0.925 0.878
Si6 0.561 0.075 0.122

## Properties
Total magnetization: 0.0 μB per cell
Total DFT energy (no corrections): -36.610 eV/f.u.

(12)
Density functional theory data (PBE) for a geometry-optimized PmBeSi2 structure.

a = 4.139 Å, b = 4.550 Å, c = 4.550 Å
α = 114.64°, β = 90.00°, γ = 90.00°
Element x y z (fractional)
Pm1 0.000 0.945 0.055
Be1 0.500 0.445 0.555
Si1 0.500 0.945 0.555
Si2 0.500 0.445 0.055

## Properties
Energy above the lowest structure with this stoichiometry: 0.0 meV/atom
Total magnetization: 0.0 μB per cell
Total DFT energy (no corrections): -19.937 eV/f.u.

Which value of total magnetization does entry 1 give? 0.0 μB per cell

What is the total DFT energy (no corrections) in the tenth record? -36.396 eV/f.u.

Number 7 is which compound? Pm3BeSe6